1.
DyMg2Hg (GGA-PBE, relaxed); DOS at the Fermi energy = 2.70 states/eV/f.u.; energy of formation = 0.1148 eV/atom; SG = R-3m; size of the total moment = 0.0 Bohr magnetons per cell; polymorph energy (0 for the lowest one) = 380.9 meV/atom
1.0
-0.457 -2.670 -1.839
1.406 -2.832 0.849
-8.709 -4.488 5.768
Mg Hg Dy
2 1 1
Direct
0.096 0.096 0.712 Mg
0.904 0.904 0.288 Mg
0.500 0.500 0.500 Hg
0.000 0.000 0.000 Dy


2.
NaDyMgHg (GGA-PBE, relaxed); DOS at the Fermi energy = 3.64 states/eV/f.u.; energy of formation = -0.1490 eV/atom; SG = F-43m; size of the total moment = 0.0 Bohr magnetons per cell
1.0
5.114 0.000 0.000
2.557 4.429 0.000
2.557 1.476 4.176
Na Mg Hg Dy
1 1 1 1
Direct
0.000 0.000 0.000 Na
0.250 0.250 0.250 Mg
0.500 0.500 0.500 Hg
0.750 0.750 0.750 Dy


3.
NdDyMg2Hg4 (GGA-PBE, relaxed); DOS at the Fermi energy = 2.54 states/eV/f.u.; energy of formation = -0.4654 eV/atom; SG = R-3m; size of the total moment = 0.0 Bohr magnetons per cell
1.0
5.115 0.000 0.000
2.558 4.430 0.000
2.558 1.477 8.402
Nd Dy Mg Hg
1 1 2 4
Direct
0.000 0.000 0.000 Nd
0.500 0.500 0.500 Dy
0.750 0.750 0.749 Mg
0.250 0.250 0.251 Mg
0.378 0.378 0.866 Hg
0.873 0.873 0.382 Hg
0.127 0.127 0.618 Hg
0.622 0.622 0.134 Hg


4.
DyMgNiHg (GGA-PBE, relaxed); DOS at the Fermi energy = 4.32 states/eV/f.u.; energy of formation = -0.2770 eV/atom; SG = F-43m; size of the total moment = 0.0 Bohr magnetons per cell
1.0
4.852 0.000 0.000
2.426 4.202 0.000
2.426 1.401 3.961
Ni Mg Hg Dy
1 1 1 1
Direct
0.000 0.000 0.000 Ni
0.250 0.250 0.250 Mg
0.500 0.500 0.500 Hg
0.750 0.750 0.750 Dy


5.
DyMgHgPb (GGA-PBE, relaxed); DOS at the Fermi energy = 2.33 states/eV/f.u.; energy of formation = -0.3025 eV/atom; SG = F-43m; size of the total moment = 0.0 Bohr magnetons per cell; polymorph energy (0 for the lowest one) = 70.5 meV/atom
1.0
5.228 0.000 0.000
2.614 4.528 0.000
2.614 1.509 4.269
Pb Mg Hg Dy
1 1 1 1
Direct
0.750 0.750 0.750 Pb
0.000 0.000 0.000 Mg
0.250 0.250 0.250 Hg
0.500 0.500 0.500 Dy


6.
DyMgHgPb (GGA-PBE, relaxed); DOS at the Fermi energy = 1.45 states/eV/f.u.; energy of formation = -0.3731 eV/atom; SG = Pmmm; size of the total moment = 0.0 Bohr magnetons per cell; polymorph energy (0 for the lowest one) = 0.0 meV/atom
1.0
-0.945 -4.028 -0.880
1.509 -1.304 4.346
-4.578 0.682 1.795
Dy Mg Hg Pb
1 1 1 1
Direct
0.000 0.500 0.500 Dy
0.000 0.000 0.000 Mg
0.500 0.500 0.000 Hg
0.500 0.000 0.500 Pb


7.
PmDy2MgHg4 (GGA-PBE, relaxed); DOS at the Fermi energy = 5.56 states/eV/f.u.; energy of formation = -0.4505 eV/atom; SG = R-3m; size of the total moment = 0.0 Bohr magnetons per cell
1.0
-3.374 -2.447 3.025
1.661 -3.435 3.459
0.165 4.412 8.137
Pm Dy Mg Hg
1 2 1 4
Direct
0.000 0.000 0.000 Pm
0.756 0.756 0.731 Dy
0.244 0.244 0.269 Dy
0.500 0.500 0.500 Mg
0.378 0.378 0.865 Hg
0.874 0.874 0.378 Hg
0.126 0.126 0.622 Hg
0.622 0.622 0.135 Hg


8.
PmDyMg2Hg4 (GGA-PBE, relaxed); DOS at the Fermi energy = 2.48 states/eV/f.u.; energy of formation = -0.4672 eV/atom; SG = R-3m; size of the total moment = 0.0 Bohr magnetons per cell
1.0
5.106 0.000 0.000
2.553 4.422 0.000
2.553 1.474 8.375
Pm Dy Mg Hg
1 1 2 4
Direct
0.000 0.000 0.000 Pm
0.500 0.500 0.500 Dy
0.750 0.750 0.749 Mg
0.250 0.250 0.251 Mg
0.377 0.377 0.868 Hg
0.873 0.873 0.380 Hg
0.127 0.127 0.620 Hg
0.623 0.623 0.132 Hg


9.
PmDyMgHg (GGA-PBE, relaxed); DOS at the Fermi energy = 4.66 states/eV/f.u.; energy of formation = -0.2823 eV/atom; SG = P4mm; size of the total moment = 0.0 Bohr magnetons per cell; polymorph energy (0 for the lowest one) = 0.0 meV/atom
1.0
3.799 0.000 0.000
0.000 3.799 0.000
0.000 0.000 7.534
Pm Dy Mg Hg
1 1 1 1
Direct
0.000 0.000 0.858 Pm
0.000 0.000 0.352 Dy
0.500 0.500 0.597 Mg
0.500 0.500 0.121 Hg


10.
PmDyMgHg (GGA-PBE, relaxed); DOS at the Fermi energy = 5.02 states/eV/f.u.; energy of formation = -0.2615 eV/atom; SG = F-43m; size of the total moment = 0.2 Bohr magnetons per cell; polymorph energy (0 for the lowest one) = 20.8 meV/atom
1.0
5.359 0.000 0.000
2.679 4.641 0.000
2.679 1.547 4.375
Mg Pm Hg Dy
1 1 1 1
Direct
0.500 0.500 0.500 Mg
0.750 0.750 0.750 Pm
0.000 0.000 0.000 Hg
0.250 0.250 0.250 Dy


11.
PrDyMg2Hg4 (GGA-PBE, relaxed); DOS at the Fermi energy = 2.60 states/eV/f.u.; energy of formation = -0.4638 eV/atom; SG = R-3m; size of the total moment = 0.0 Bohr magnetons per cell
1.0
-2.132 4.595 -0.781
-3.164 1.987 3.509
4.788 5.883 4.730
Pr Dy Mg Hg
1 1 2 4
Direct
0.000 0.000 0.000 Pr
0.500 0.500 0.500 Dy
0.751 0.751 0.748 Mg
0.249 0.249 0.252 Mg
0.379 0.379 0.864 Hg
0.872 0.872 0.383 Hg
0.128 0.128 0.617 Hg
0.621 0.621 0.136 Hg


12.
DyMgHgPt (GGA-PBE, relaxed); DOS at the Fermi energy = 4.07 states/eV/f.u.; energy of formation = -0.7045 eV/atom; SG = F-43m; size of the total moment = 0.0 Bohr magnetons per cell
1.0
-2.828 2.869 2.802
-4.798 -0.940 0.417
-1.806 -1.714 4.229
Mg Hg Pt Dy
1 1 1 1
Direct
0.000 0.000 0.000 Mg
0.250 0.250 0.250 Hg
0.750 0.750 0.750 Pt
0.500 0.500 0.500 Dy


The highest energy of formation belongs to which entry?
DyMg2Hg